Sr5Ge2P GGA-PBE optimized geometry; DFT formation energy = -0.66 eV/atom; symmetry = I4/mcm (140); energy = -3.539 eV per atom; crystal system = tetragonal; calculated volume = 507 Å³/cell
1.0
7.372 0.000 -3.480
-1.643 7.187 -3.480
0.008 0.010 9.566
Sr Ge P
10 4 2
Direct
0.529 0.681 0.710 Sr
0.819 0.971 0.290 Sr
0.000 0.000 0.000 Sr
0.500 0.500 0.000 Sr
0.181 0.029 0.710 Sr
0.681 0.181 0.710 Sr
0.029 0.529 0.710 Sr
0.319 0.819 0.290 Sr
0.971 0.471 0.290 Sr
0.471 0.319 0.290 Sr
0.116 0.384 0.000 Ge
0.616 0.116 0.000 Ge
0.384 0.884 0.000 Ge
0.884 0.616 0.000 Ge
0.750 0.750 0.500 P
0.250 0.250 0.500 P



SrGeP GGA-PBE optimized geometry; DFT formation energy = -0.29 eV/atom; symmetry = Fddd (70); energy = -4.194 eV per atom; crystal system = orthorhombic; calculated volume = 326 Å³/cell
1.0
-3.261 0.587 -6.251
-4.852 -2.747 4.356
2.020 7.287 2.592
Sr Ge P
4 4 4
Direct
0.332 0.332 0.665 Sr
0.668 0.668 0.335 Sr
0.918 0.418 0.835 Sr
0.582 0.082 0.165 Sr
0.125 0.875 0.750 Ge
0.125 0.375 0.250 Ge
0.625 0.875 0.750 Ge
0.125 0.875 0.250 Ge
0.993 0.493 0.500 P
0.743 0.743 0.000 P
0.507 0.007 0.500 P
0.257 0.257 0.000 P



SrGeP3 GGA-PBE optimized geometry; DFT formation energy = 0.16 eV/atom; symmetry = Pm-3m (221); E above lowest polymorph = 0.0 meV per atom; energy = -4.345 eV per atom; crystal system = cubic; calculated volume = 114 Å³/cell
1.0
4.852 0.000 0.000
0.000 4.852 0.000
0.000 0.000 4.852
Sr Ge P
1 1 3
Direct
0.500 0.500 0.500 Sr
0.000 0.000 0.000 Ge
0.000 0.500 0.000 P
0.000 0.000 0.500 P
0.500 0.000 0.000 P



Sr2Ge2P GGA-PBE optimized geometry; DFT formation energy = -0.43 eV/atom; symmetry = P4/mbm (127); energy = -4.029 eV per atom; crystal system = tetragonal; calculated volume = 260 Å³/cell
1.0
-3.320 2.646 -6.178
-0.060 -6.901 -2.924
-4.148 -0.769 1.900
Sr Ge P
4 4 2
Direct
0.181 0.681 0.500 Sr
0.681 0.819 0.500 Sr
0.819 0.319 0.500 Sr
0.319 0.181 0.500 Sr
0.379 0.879 0.000 Ge
0.879 0.621 0.000 Ge
0.621 0.121 0.000 Ge
0.121 0.379 0.000 Ge
0.000 0.000 0.000 P
0.500 0.500 0.000 P



Sr3Ge2P4 GGA-PBE optimized geometry; DFT formation energy = -0.70 eV/atom; symmetry = C2/c (15); E above lowest polymorph = 101.5 meV per atom; energy = -4.687 eV per atom; crystal system = monoclinic; calculated volume = 480 Å³/cell
1.0
-2.370 -1.669 7.104
7.394 -3.497 1.646
-1.074 8.381 1.485
Sr Ge P
6 4 8
Direct
0.118 0.772 0.744 Sr
0.382 0.028 0.256 Sr
0.882 0.228 0.256 Sr
0.618 0.972 0.744 Sr
0.750 0.514 0.000 Sr
0.250 0.486 0.000 Sr
0.511 0.540 0.373 Ge
0.989 0.167 0.627 Ge
0.489 0.460 0.627 Ge
0.011 0.833 0.373 Ge
0.492 0.722 0.897 P
0.008 0.825 0.103 P
0.508 0.278 0.103 P
0.992 0.175 0.897 P
0.821 0.648 0.440 P
0.679 0.208 0.560 P
0.179 0.352 0.560 P
0.321 0.792 0.440 P



Sr3Ge2P4 GGA-PBE optimized geometry; DFT formation energy = -0.66 eV/atom; symmetry = C2/c (15); E above lowest polymorph = 136.9 meV per atom; energy = -4.651 eV per atom; crystal system = monoclinic; calculated volume = 466 Å³/cell
1.0
6.463 -0.156 -0.112
0.124 8.533 -0.654
0.124 2.131 8.289
Sr Ge P
6 4 8
Direct
0.955 0.988 0.252 Sr
0.545 0.748 0.012 Sr
0.045 0.012 0.748 Sr
0.455 0.252 0.988 Sr
0.250 0.611 0.389 Sr
0.750 0.389 0.611 Sr
0.431 0.176 0.408 Ge
0.069 0.592 0.824 Ge
0.569 0.824 0.592 Ge
0.931 0.408 0.176 Ge
0.453 0.956 0.272 P
0.047 0.728 0.044 P
0.547 0.044 0.728 P
0.953 0.272 0.956 P
0.081 0.259 0.422 P
0.419 0.578 0.741 P
0.919 0.741 0.578 P
0.581 0.422 0.259 P



SrGeP GGA-PBE optimized geometry; DFT formation energy = -0.55 eV/atom; symmetry = P-6m2 (187); energy = -4.449 eV per atom; crystal system = hexagonal; calculated volume = 75 Å³/cell
1.0
4.397 0.000 0.000
0.000 4.429 0.000
0.000 -2.214 3.835
Sr Ge P
1 1 1
Direct
0.667 0.333 0.667 Sr
0.167 0.667 0.333 Ge
0.166 0.000 0.000 P



Sr2Ge3P GGA-PBE optimized geometry; DFT formation energy = -0.49 eV/atom; symmetry = Pmm2 (25); energy = -4.260 eV per atom; crystal system = orthorhombic; calculated volume = 154 Å³/cell
1.0
-2.578 -2.956 -2.562
-0.952 -2.332 3.649
-5.963 4.215 1.138
Sr Ge P
2 3 1
Direct
0.500 0.000 0.990 Sr
0.000 0.000 0.505 Sr
0.000 0.500 0.172 Ge
0.000 0.500 0.826 Ge
0.500 0.500 0.336 Ge
0.500 0.500 0.671 P